{"formula": "MgInO2", "functional": "GGA-PBEsol", "state": "optimized geometry", "lattice": [[3.347, 0.000, 0.000], [1.674, 2.899, 0.000], [1.674, 0.966, 6.074]], "species": ["Mg", "O", "O", "In"], "frac_coords": [[0.000, 0.000, 0.000], [0.108, 0.108, 0.677], [0.892, 0.892, 0.323], [0.500, 0.500, 0.500]], "mass_density_g_cm3": 4.8, "magnetic_moment_mub_per_fu": 0.00, "raw_formation_energy_ev_per_atom": -1.490, "crystal_system": "trigonal", "polymorph_energy_kj_per_mol_atoms": 0.0}

=====

{"formula": "Cr12Rh17", "functional": "GGA-PBEsol", "state": "optimized geometry", "lattice": [[7.815, 0.000, 0.000], [-2.605, 7.368, 0.000], [-2.605, -3.684, 6.381]], "species": ["Rh", "Rh", "Rh", "Rh", "Rh", "Rh", "Rh", "Rh", "Rh", "Rh", "Rh", "Rh", "Rh", "Rh", "Rh", "Rh", "Rh", "Cr", "Cr", "Cr", "Cr", "Cr", "Cr", "Cr", "Cr", "Cr", "Cr", "Cr", "Cr"], "frac_coords": [[0.000, 0.000, 0.000], [0.316, 0.000, 0.607], [0.607, 0.000, 0.316], [0.335, 0.000, 0.000], [0.000, 0.335, 0.000], [0.000, 0.000, 0.335], [0.665, 0.665, 0.665], [0.000, 0.607, 0.316], [0.393, 0.709, 0.393], [0.000, 0.316, 0.607], [0.393, 0.393, 0.709], [0.316, 0.607, 0.000], [0.684, 0.684, 0.291], [0.709, 0.393, 0.393], [0.684, 0.291, 0.684], [0.291, 0.684, 0.684], [0.607, 0.316, 0.000], [0.633, 0.804, 0.000], [0.000, 0.804, 0.633], [0.172, 0.367, 0.367], [0.367, 0.367, 0.172], [0.633, 0.000, 0.804], [0.196, 0.196, 0.828], [0.828, 0.196, 0.196], [0.000, 0.633, 0.804], [0.367, 0.172, 0.367], [0.196, 0.828, 0.196], [0.804, 0.000, 0.633], [0.804, 0.633, 0.000]], "mass_density_g_cm3": 10.7, "magnetic_moment_mub_per_fu": 0.01, "formation_enthalpy_0k_ev_per_atom": -0.0397, "crystal_system": "cubic"}

=====

{"formula": "MnMo2W", "functional": "GGA-PBEsol", "state": "optimized geometry", "lattice": [[2.733, 0.000, 0.000], [1.366, 2.367, 0.000], [1.366, 0.789, 8.951]], "species": ["Mo", "Mo", "W", "Mn"], "frac_coords": [[0.750, 0.750, 0.751], [0.993, 0.993, 0.021], [0.507, 0.507, 0.480], [0.251, 0.251, 0.247]], "mass_density_g_cm3": 12.4, "magnetic_moment_mub_per_fu": 0.00, "formation_enthalpy_0k_ev_per_atom": 0.4087, "crystal_system": "trigonal", "polymorph_energy_kj_per_mol_atoms": 30.8}

=====

{"formula": "Sr2TmTaO6", "functional": "GGA-PBEsol", "state": "optimized geometry", "lattice": [[-0.735, 5.701, 0.294], [-5.564, -0.636, -1.595], [-2.174, -0.659, 7.843]], "species": ["Sr", "Sr", "Sr", "Sr", "O", "O", "O", "O", "O", "O", "O", "O", "O", "O", "O", "O", "Tm", "Tm", "Ta", "Ta"], "frac_coords": [[0.992, 0.035, 0.250], [0.492, 0.465, 0.750], [0.508, 0.535, 0.250], [0.008, 0.965, 0.750], [0.922, 0.522, 0.763], [0.726, 0.298, 0.040], [0.300, 0.725, 0.543], [0.578, 0.022, 0.737], [0.226, 0.202, 0.540], [0.700, 0.275, 0.457], [0.078, 0.478, 0.237], [0.800, 0.775, 0.043], [0.200, 0.225, 0.957], [0.774, 0.798, 0.460], [0.274, 0.702, 0.960], [0.422, 0.978, 0.263], [0.000, 0.500, 0.500], [0.500, 0.000, 0.000], [0.000, 0.500, 0.000], [0.500, 0.000, 0.500]], "mass_density_g_cm3": 7.5, "magnetic_moment_mub_per_fu": 0.00, "raw_formation_energy_ev_per_atom": -3.260, "crystal_system": "monoclinic"}

=====

{"formula": "KAl3Au", "functional": "GGA-PBEsol", "state": "optimized geometry", "lattice": [[5.004, 0.000, 0.000], [0.000, 5.004, 0.000], [0.000, 0.000, 5.004]], "species": ["Au", "Al", "Al", "Al", "K"], "frac_coords": [[0.000, 0.000, 0.000], [0.000, 0.000, 0.500], [0.500, 0.000, 0.000], [0.000, 0.500, 0.000], [0.500, 0.500, 0.500]], "mass_density_g_cm3": 4.2, "magnetic_moment_mub_per_fu": 0.00, "formation_enthalpy_0k_ev_per_atom": 0.2303, "crystal_system": "cubic"}

=====

{"formula": "SrHfTi2Tl", "functional": "GGA-PBEsol", "state": "optimized geometry", "lattice": [[-2.293, 1.301, 4.118], [-0.007, -4.663, 1.470], [5.202, 0.824, 2.637]], "species": ["Ti", "Ti", "Sr", "Hf", "Tl"], "frac_coords": [[0.500, 0.000, 0.000], [0.000, 0.500, 0.000], [0.000, 0.000, 0.500], [0.000, 0.000, 0.000], [0.500, 0.500, 0.500]], "mass_density_g_cm3": 6.7, "magnetic_moment_mub_per_fu": 0.01, "formation_enthalpy_0k_ev_per_atom": 1.0860, "crystal_system": "tetragonal"}